# CdN (PBE, optimized geometry)
# polymorph energy (0 for the lowest one) = 1069 meV/atom
# magnetic moment = 0.4 μB/f.u.
# space-group type = Fddd (70)
# E_form (uncorrected) = 1.1991 eV per atom
data_CdN
_chemical_formula_sum 'Cd4 N4'
_cell_length_a 7.3372
_cell_length_b 6.6664
_cell_length_c 5.5592
_cell_angle_alpha 73.13
_cell_angle_beta 60.40
_cell_angle_gamma 46.47
_symmetry_space_group_name_H-M 'P 1'
_symmetry_Int_Tables_number 1
loop_
_symmetry_equiv_pos_as_xyz
'x,y,z'
loop_
_atom_site_label
_atom_site_type_symbol
_atom_site_fract_x
_atom_site_fract_y
_atom_site_fract_z
Cd1 Cd 0.0568 0.6932 0.0568
Cd2 Cd 0.3068 0.9432 0.3068
Cd3 Cd 0.6932 0.0568 0.6932
Cd4 Cd 0.9432 0.3068 0.9432
N1 N 0.0155 0.0155 0.7345
N2 N 0.2655 0.2655 0.9845
N3 N 0.7345 0.7345 0.0155
N4 N 0.9845 0.9845 0.2655

=====

# Cd4N (PBE, optimized geometry)
# magnetic moment = 0.0 μB/f.u.
# space-group type = Pm-3m (221)
# E_form (uncorrected) = 0.4556 eV per atom
data_Cd4N
_chemical_formula_sum 'Cd4 N1'
_cell_length_a 4.6939
_cell_length_b 4.6939
_cell_length_c 4.6939
_cell_angle_alpha 90.00
_cell_angle_beta 90.00
_cell_angle_gamma 90.00
_symmetry_space_group_name_H-M 'P 1'
_symmetry_Int_Tables_number 1
loop_
_symmetry_equiv_pos_as_xyz
'x,y,z'
loop_
_atom_site_label
_atom_site_type_symbol
_atom_site_fract_x
_atom_site_fract_y
_atom_site_fract_z
Cd1 Cd 0.0000 0.0000 0.0000
Cd2 Cd 0.0000 0.5000 0.5000
Cd3 Cd 0.5000 0.0000 0.5000
Cd4 Cd 0.5000 0.5000 0.0000
N1 N 0.5000 0.5000 0.5000

=====

Which of these has the lowest magnetic moment? Cd4N

=====

Which value of magnetic moment does entry 1 give? 0.4 μB/f.u.